No. 1
This record from Alexandria via LeMat-Bulk describes an optimized crystal structure of Li4Ag7Hg. The functional is GGA-PBE.

Output
The calculated formation energy comes out at -143 meV/atom. The value obtained for the offset from the most stable computed form is 0.000 eV/atom. The density of states at the Fermi level is 3.5 states/eV per cell.

a = 5.056 Å, b = 5.802 Å, c = 7.655 Å
α = 79.05°, β = 71.45°, γ = 89.98°
Space group P-1 (No. 2)
One atom of each set of equivalent atoms:
Li1 0.172 0.165 0.332 [2 per cell]
Li2 0.320 0.576 0.672 [2 per cell]
Ag1 0.000 0.255 0.001 [2 per cell]
Ag2 0.167 0.662 0.344 [2 per cell]
Ag3 0.331 0.086 0.655 [2 per cell]
Ag4 0.500 0.500 0.000 [1 per cell]
Hg1 0.500 0.000 0.000 [1 per cell]



No. 2
This record from Alexandria via LeMat-Bulk describes an optimized crystal structure of Li3AgHg. The functional is GGA-PBE.

Output
The calculated formation energy comes out at 39 meV/atom. The value obtained for the offset from the most stable computed form is 0.301 eV/atom. The density of states at the Fermi level is 2.8 states/eV per cell.

a = 4.889 Å, b = 4.889 Å, c = 4.889 Å
α = 90.00°, β = 90.00°, γ = 90.00°
Space group Pm-3m (No. 221)
One atom of each set of equivalent atoms:
Li1 0.000 0.000 0.500 [3 per cell]
Ag1 0.000 0.000 0.000 [1 per cell]
Hg1 0.500 0.500 0.500 [1 per cell]



No. 3
This record from Alexandria via LeMat-Bulk describes an optimized crystal structure of Li7Ag12Hg. The functional is GGA-PBE.

Output
The calculated formation energy comes out at -91 meV/atom. The density of states at the Fermi level is 18.7 states/eV per cell.

a = 10.2598 Å, b = 10.2598 Å, c = 12.2354 Å
α = 90.00°, β = 90.00°, γ = 120.00°
Space group R-3 (No. 148, hexagonal axes)
One atom of each set of equivalent atoms:
Li1 0.0000 0.0000 0.0000 [3 per cell]
Li2 0.0200 0.8261 0.3080 [18 per cell]
Ag1 0.0180 0.5723 0.1959 [18 per cell]
Ag2 0.0741 0.2521 0.9200 [18 per cell]
Hg1 0.0000 0.0000 0.5000 [3 per cell]



No. 4
This record from Alexandria via LeMat-Bulk describes an optimized crystal structure of Li5Ag3Hg. The functional is GGA-PBE.

Output
The calculated formation energy comes out at -170 meV/atom. The density of states at the Fermi level is 6.0 states/eV per cell.

a = 8.0248 Å, b = 8.0248 Å, c = 5.6004 Å
α = 90.00°, β = 90.00°, γ = 120.00°
Space group P6_3/mcm (No. 193)
One atom of each set of equivalent atoms:
Li1 0.0000 0.3041 0.2500 [6 per cell]
Li2 0.3333 0.6667 0.0000 [4 per cell]
Ag1 0.0000 0.3703 0.7500 [6 per cell]
Hg1 0.0000 0.0000 0.0000 [2 per cell]



No. 5
This record from Alexandria via LeMat-Bulk describes an optimized crystal structure of Li2Ag7Hg2. The functional is GGA-PBE.

Output
The calculated formation energy comes out at -16 meV/atom. The value obtained for the offset from the most stable computed form is 0.034 eV/atom. The density of states at the Fermi level is 8.1 states/eV per cell.

a = 9.215 Å, b = 9.754 Å, c = 5.119 Å
α = 90.00°, β = 113.84°, γ = 90.00°
Space group C2/m (No. 12)
One atom of each set of equivalent atoms:
Li1 0.000 0.220 0.000 [4 per cell]
Ag1 0.000 0.000 0.500 [2 per cell]
Ag2 0.093 0.500 0.318 [4 per cell]
Ag3 0.168 0.245 0.674 [8 per cell]
Hg1 0.233 0.000 0.062 [4 per cell]



No. 6
This record from Alexandria via LeMat-Bulk describes an optimized crystal structure of Li11Ag4Hg9. The functional is GGA-PBE.

Output
The calculated formation energy comes out at -288 meV/atom. The density of states at the Fermi level is 14.7 states/eV per cell.

a = 14.191 Å, b = 19.258 Å, c = 3.200 Å
α = 90.00°, β = 90.00°, γ = 90.00°
Space group Cmmm (No. 65)
One atom of each set of equivalent atoms:
Li1 0.000 0.000 0.000 [2 per cell]
Li2 0.000 0.182 0.000 [4 per cell]
Li3 0.000 0.369 0.000 [4 per cell]
Li4 0.221 0.000 0.000 [4 per cell]
Li5 0.232 0.174 0.000 [8 per cell]
Ag1 0.167 0.419 0.500 [8 per cell]
Hg1 0.000 0.500 0.500 [2 per cell]
Hg2 0.113 0.090 0.500 [8 per cell]
Hg3 0.117 0.269 0.500 [8 per cell]



No. 7
This record from Alexandria via LeMat-Bulk describes an optimized crystal structure of LiAg5Hg. The functional is GGA-PBE.

Output
The calculated formation energy comes out at 0 meV/atom. The density of states at the Fermi level is 8.0 states/eV per cell.

a = 9.190 Å, b = 10.738 Å, c = 5.828 Å
α = 90.00°, β = 109.39°, γ = 90.00°
Space group C2/c (No. 15)
One atom of each set of equivalent atoms:
Li1 0.250 0.250 0.000 [4 per cell]
Ag1 0.000 0.125 0.750 [4 per cell]
Ag2 0.011 0.369 0.514 [8 per cell]
Ag3 0.247 0.490 0.369 [8 per cell]
Hg1 0.000 0.145 0.250 [4 per cell]



No. 8
This record from Alexandria via LeMat-Bulk describes an optimized crystal structure of Li3Ag4Hg. The functional is GGA-PBE.

Output
The calculated formation energy comes out at -206 meV/atom. The value obtained for the offset from the most stable computed form is 0.000 eV/atom. The density of states at the Fermi level is 2.9 states/eV per cell.

a = 17.466 Å, b = 4.154 Å, c = 3.891 Å
α = 90.00°, β = 102.82°, γ = 90.00°
Space group C2/m (No. 12)
One atom of each set of equivalent atoms:
Li1 0.000 0.000 0.000 [2 per cell]
Li2 0.132 0.500 0.132 [4 per cell]
Ag1 0.124 0.000 0.624 [4 per cell]
Ag2 0.250 0.000 0.251 [4 per cell]
Hg1 0.000 0.500 0.500 [2 per cell]



No. 9
This record from Alexandria via LeMat-Bulk describes an optimized crystal structure of Li3AgHg. The functional is GGA-PBE.

Output
The calculated formation energy comes out at -263 meV/atom. The value obtained for the offset from the most stable computed form is 0.000 eV/atom. The density of states at the Fermi level is 3.4 states/eV per cell.

a = 4.768 Å, b = 4.788 Å, c = 7.894 Å
α = 87.44°, β = 72.46°, γ = 82.65°
Space group P-1 (No. 2)
One atom of each set of equivalent atoms:
Li1 0.051 0.250 0.396 [2 per cell]
Li2 0.249 0.250 0.000 [2 per cell]
Li3 0.446 0.251 0.607 [2 per cell]
Ag1 0.148 0.750 0.205 [2 per cell]
Hg1 0.355 0.750 0.793 [2 per cell]



No. 10
This record from Alexandria via LeMat-Bulk describes an optimized crystal structure of LiAg3Hg. The functional is GGA-PBE.

Output
The calculated formation energy comes out at 354 meV/atom. The value obtained for the offset from the most stable computed form is 0.429 eV/atom. The density of states at the Fermi level is 1.6 states/eV per cell.

a = 4.606 Å, b = 4.606 Å, c = 4.606 Å
α = 90.00°, β = 90.00°, γ = 90.00°
Space group Pm-3m (No. 221)
One atom of each set of equivalent atoms:
Li1 0.000 0.000 0.000 [1 per cell]
Ag1 0.000 0.000 0.500 [3 per cell]
Hg1 0.500 0.500 0.500 [1 per cell]



No. 11
This record from Alexandria via LeMat-Bulk describes an optimized crystal structure of LiAgHg2. The functional is GGA-PBE.

Output
The calculated formation energy comes out at -160 meV/atom. The density of states at the Fermi level is 1.1 states/eV per cell.

a = 4.208 Å, b = 4.222 Å, c = 8.900 Å
α = 90.00°, β = 90.00°, γ = 90.00°
Space group Imm2 (No. 44)
One atom of each set of equivalent atoms:
Li1 0.000 0.000 0.000 [2 per cell]
Ag1 0.000 0.500 0.750 [2 per cell]
Hg1 0.000 0.000 0.500 [2 per cell]
Hg2 0.000 0.500 0.250 [2 per cell]



No. 12
This record from Alexandria via LeMat-Bulk describes an optimized crystal structure of LiAg2Hg2. The functional is GGA-PBE.

Output
The calculated formation energy comes out at -14 meV/atom. The value obtained for the offset from the most stable computed form is 0.107 eV/atom. The density of states at the Fermi level is 3.8 states/eV per cell.

a = 7.837 Å, b = 7.837 Å, c = 3.445 Å
α = 90.00°, β = 90.00°, γ = 90.00°
Space group P4/mbm (No. 127)
One atom of each set of equivalent atoms:
Li1 0.000 0.000 0.000 [2 per cell]
Ag1 0.139 0.361 0.500 [4 per cell]
Hg1 0.161 0.661 0.000 [4 per cell]



No. 13
This record from Alexandria via LeMat-Bulk describes an optimized crystal structure of Li2AgHg6. The functional is GGA-PBE.

Output
The calculated formation energy comes out at -143 meV/atom. The density of states at the Fermi level is 4.2 states/eV per cell.

a = 9.979 Å, b = 5.139 Å, c = 8.979 Å
α = 90.00°, β = 123.06°, γ = 90.00°
Space group C2/m (No. 12)
One atom of each set of equivalent atoms:
Li1 0.161 0.000 0.323 [4 per cell]
Ag1 0.000 0.500 0.000 [2 per cell]
Hg1 0.016 0.500 0.342 [4 per cell]
Hg2 0.161 0.000 0.000 [4 per cell]
Hg3 0.174 0.000 0.660 [4 per cell]



No. 14
This record from Alexandria via LeMat-Bulk describes an optimized crystal structure of Li6Ag2Hg. The functional is GGA-PBE.

Output
The calculated formation energy comes out at -197 meV/atom. The density of states at the Fermi level is 5.6 states/eV per cell.

a = 13.394 Å, b = 7.730 Å, c = 2.905 Å
α = 90.00°, β = 90.38°, γ = 90.00°
Space group C2/m (No. 12)
One atom of each set of equivalent atoms:
Li1 0.000 0.166 0.000 [4 per cell]
Li2 0.167 0.333 0.013 [8 per cell]
Ag1 0.167 0.000 0.500 [4 per cell]
Hg1 0.000 0.500 0.500 [2 per cell]



No. 15
This record from Alexandria via LeMat-Bulk describes an optimized crystal structure of Li9Ag2Hg3. The functional is GGA-PBE.

Output
The calculated formation energy comes out at -180 meV/atom. The density of states at the Fermi level is 7.7 states/eV per cell.

a = 3.959 Å, b = 10.848 Å, c = 11.600 Å
α = 90.00°, β = 90.00°, γ = 90.00°
Space group Immm (No. 71)
One atom of each set of equivalent atoms:
Li1 0.000 0.000 0.000 [2 per cell]
Li2 0.000 0.120 0.375 [8 per cell]
Li3 0.000 0.203 0.155 [8 per cell]
Ag1 0.000 0.334 0.500 [4 per cell]
Hg1 0.000 0.500 0.000 [2 per cell]
Hg2 0.000 0.500 0.287 [4 per cell]



No. 16
This record from Alexandria via LeMat-Bulk describes an optimized crystal structure of Li4Ag4Hg3. The functional is GGA-PBE.

Output
The calculated formation energy comes out at -221 meV/atom. The density of states at the Fermi level is 3.2 states/eV per cell.

a = 3.255 Å, b = 3.466 Å, c = 17.401 Å
α = 84.49°, β = 84.96°, γ = 89.94°
Space group P-1 (No. 2)
One atom of each set of equivalent atoms:
Li1 0.047 0.046 0.407 [2 per cell]
Li2 0.313 0.315 0.870 [2 per cell]
Ag1 0.227 0.226 0.047 [2 per cell]
Ag2 0.412 0.413 0.676 [2 per cell]
Hg1 0.142 0.141 0.219 [2 per cell]
Hg2 0.500 0.500 0.500 [1 per cell]



No. 17
This record from Alexandria via LeMat-Bulk describes an optimized crystal structure of LiAgHg2. The functional is GGA-PBE.

Output
The calculated formation energy comes out at -129 meV/atom. The density of states at the Fermi level is 1.6 states/eV per cell.

a = 9.535 Å, b = 3.062 Å, c = 5.683 Å
α = 90.00°, β = 99.47°, γ = 90.00°
Space group C2/m (No. 12)
One atom of each set of equivalent atoms:
Li1 0.000 0.000 0.000 [2 per cell]
Ag1 0.000 0.500 0.500 [2 per cell]
Hg1 0.245 0.500 0.243 [4 per cell]



No. 18
This record from Alexandria via LeMat-Bulk describes an optimized crystal structure of Li12Ag2Hg. The functional is GGA-PBE.

Output
The calculated formation energy comes out at 35 meV/atom. The density of states at the Fermi level is 11.2 states/eV per cell.

a = 5.420 Å, b = 5.420 Å, c = 20.269 Å
α = 90.00°, β = 90.00°, γ = 90.00°
Space group P4/nbm (No. 125, origin choice 2)
One atom of each set of equivalent atoms:
Li1 0.000 0.000 0.099 [8 per cell]
Li2 0.065 0.565 0.437 [8 per cell]
Li3 0.250 0.250 0.199 [4 per cell]
Li4 0.250 0.250 0.323 [4 per cell]
Ag1 0.250 0.750 0.216 [4 per cell]
Hg1 0.250 0.750 0.000 [2 per cell]



No. 19
This record from Alexandria via LeMat-Bulk describes an optimized crystal structure of Li5Ag2Hg4. The functional is GGA-PBE.

Output
The calculated formation energy comes out at -136 meV/atom. The value obtained for the offset from the most stable computed form is 0.071 eV/atom. The density of states at the Fermi level is 4.6 states/eV per cell.

a = 21.421 Å, b = 3.063 Å, c = 6.859 Å
α = 90.00°, β = 93.43°, γ = 90.00°
Space group C2/m (No. 12)
One atom of each set of equivalent atoms:
Li1 0.000 0.000 0.000 [2 per cell]
Li2 0.156 0.500 0.892 [4 per cell]
Li3 0.225 0.500 0.270 [4 per cell]
Ag1 0.094 0.500 0.219 [4 per cell]
Hg1 0.039 0.500 0.691 [4 per cell]
Hg2 0.159 0.000 0.546 [4 per cell]



No. 20
This record from Alexandria via LeMat-Bulk describes an optimized crystal structure of LiAg2Hg2. The functional is GGA-PBE.

Output
The calculated formation energy comes out at 80 meV/atom. The value obtained for the offset from the most stable computed form is 0.201 eV/atom. The density of states at the Fermi level is 4.6 states/eV per cell.

a = 4.233 Å, b = 4.233 Å, c = 13.360 Å
α = 90.00°, β = 90.00°, γ = 90.00°
Space group I4/mmm (No. 139)
One atom of each set of equivalent atoms:
Li1 0.000 0.000 0.000 [2 per cell]
Ag1 0.000 0.000 0.401 [4 per cell]
Hg1 0.000 0.500 0.250 [4 per cell]